A plane-wave DFT calculation with GGA-PBE was carried out for an optimized crystal structure of In2Ga5Ag.

D(E_F): 0.28 states/eV/atom
Energy relative to the elements: 3 kJ/mol of atoms

```
data_In2Ga5Ag
_symmetry_space_group_name_H-M 'P 1 21/m 1'
_symmetry_Int_Tables_number 11
_cell_length_a 4.1866
_cell_length_b 9.7980
_cell_length_c 8.3899
_cell_angle_alpha 90.00
_cell_angle_beta 98.39
_cell_angle_gamma 90.00
loop_
_symmetry_equiv_pos_as_xyz
'x,y,z'
'-x,-y,-z'
'-x,y+1/2,-z'
'x,-y+1/2,z'
loop_
_atom_site_label
_atom_site_type_symbol
_atom_site_fract_x
_atom_site_fract_y
_atom_site_fract_z
_atom_site_occupancy
In1 In 0.0000 0.0000 0.0000 1
In2 In 0.1894 0.2500 0.3564 1
Ga1 Ga 0.2011 0.6097 0.3961 1
Ga2 Ga 0.3385 0.5343 0.7129 1
Ga3 Ga 0.3412 0.2500 0.7736 1
Ag1 Ag 0.4164 0.7500 0.9215 1
```